1.
{"formula": "Er4IrRh3", "functional": "GGA-PBE", "state": "optimized geometry", "total_energy_ev_per_atom": -7.08, "magnetic_moment_mub_per_atom": 0.000, "rho_g_cm3": 12.4, "sg": "P4/mmm", "dos_ef_per_ev_atom": 0.490, "lattice_angstrom": [[-3.967, -0.847, -2.609], [3.588, -3.824, -4.212], [-1.906, -7.754, 5.416]], "species": ["Er", "Er", "Er", "Er", "Er", "Er", "Er", "Er", "Rh", "Rh", "Rh", "Rh", "Rh", "Rh", "Ir", "Ir"], "frac_coords": [[0.500, 0.749, 0.000], [0.000, 0.251, 0.750], [0.500, 0.251, 0.000], [0.500, 0.251, 0.500], [0.500, 0.749, 0.500], [0.000, 0.749, 0.250], [0.000, 0.749, 0.750], [0.000, 0.251, 0.250], [0.500, 0.500, 0.750], [0.000, 0.000, 0.000], [0.500, 0.000, 0.750], [0.500, 0.500, 0.250], [0.000, 0.000, 0.500], [0.500, 0.000, 0.250], [0.000, 0.500, 0.000], [0.000, 0.500, 0.500]]}

***

2.
{"formula": "K2ReIr", "functional": "GGA-PBE", "state": "optimized geometry", "polymorph_energy_kj_per_mol_atoms": 8.6, "magnetic_moment_mub_per_atom": 0.000, "rho_g_cm3": 6.3, "sg": "Cm", "dos_ef_per_ev_atom": 0.706, "lattice_angstrom": [[-4.068, 0.127, 1.786], [-3.982, -1.969, -0.134], [2.594, -6.505, 7.218]], "species": ["K", "K", "Ir", "Re"], "frac_coords": [[0.756, 0.756, 0.659], [0.990, 0.990, 0.094], [0.246, 0.246, 0.332], [0.508, 0.508, 0.415]]}

***

3.
{"formula": "MgCo2As", "functional": "GGA-PBE", "state": "optimized geometry", "total_energy_ev_per_atom": -5.10, "magnetic_moment_mub_per_atom": 0.382, "rho_g_cm3": 6.5, "sg": "Amm2", "dos_ef_per_ev_atom": 1.080, "lattice_angstrom": [[-2.570, 1.591, -2.823], [-0.045, -2.542, -1.392], [-3.621, -2.592, 1.836]], "species": ["As", "Co", "Co", "Mg"], "frac_coords": [[0.500, 0.922, 0.781], [0.500, 0.206, 0.211], [0.000, 0.816, 0.996], [0.000, 0.556, 0.512]]}

***

4.
{"formula": "CsTlReI2", "functional": "GGA-PBE", "state": "optimized geometry", "raw_formation_energy_ev_per_atom": 0.94, "polymorph_energy_kj_per_mol_atoms": 0.0, "magnetic_moment_mub_per_atom": 1.000, "rho_g_cm3": 4.3, "sg": "P4/mmm", "dos_ef_per_ev_atom": 0.000, "lattice_angstrom": [[-1.743, 3.029, -5.526], [-6.311, -3.183, 0.246], [-2.382, 4.992, 3.488]], "species": ["Re", "Cs", "I", "I", "Tl"], "frac_coords": [[0.500, 0.500, 0.500], [0.000, 0.500, 0.000], [0.000, 0.000, 0.500], [0.500, 0.000, 0.000], [0.000, 0.000, 0.000]]}

***

5.
{"formula": "Ga2GeAuSe6", "functional": "GGA-PBE", "state": "optimized geometry", "raw_formation_energy_ev_per_atom": -0.23, "magnetic_moment_mub_per_atom": 0.000, "rho_g_cm3": 5.8, "sg": "C2/c", "dos_ef_per_ev_atom": 0.469, "lattice_angstrom": [[-2.873, 6.280, 0.895], [-8.532, -1.809, 0.822], [-0.293, 0.835, 8.715]], "species": ["Se", "Se", "Se", "Se", "Se", "Se", "Se", "Se", "Se", "Se", "Se", "Se", "Ga", "Ga", "Ga", "Ga", "Ge", "Ge", "Au", "Au"], "frac_coords": [[0.934, 0.701, 0.563], [0.892, 0.996, 0.200], [0.608, 0.800, 0.004], [0.066, 0.299, 0.437], [0.112, 0.631, 0.064], [0.434, 0.563, 0.701], [0.566, 0.437, 0.299], [0.108, 0.004, 0.800], [0.888, 0.369, 0.936], [0.612, 0.064, 0.631], [0.392, 0.200, 0.996], [0.388, 0.936, 0.369], [0.782, 0.201, 0.394], [0.218, 0.799, 0.606], [0.282, 0.394, 0.201], [0.718, 0.606, 0.799], [0.750, 0.742, 0.258], [0.250, 0.258, 0.742], [0.750, 0.160, 0.840], [0.250, 0.840, 0.160]]}

***

6.
{"formula": "ReTe2Os", "functional": "GGA-PBE", "state": "optimized geometry", "raw_formation_energy_ev_per_atom": 0.91, "polymorph_energy_kj_per_mol_atoms": 48.8, "magnetic_moment_mub_per_atom": 0.000, "rho_g_cm3": 14.3, "sg": "P4/mmm", "dos_ef_per_ev_atom": 1.220, "lattice_angstrom": [[-0.620, -3.110, -1.009], [1.453, -1.182, 2.750], [-5.821, 0.142, 3.137]], "species": ["Te", "Te", "Re", "Os"], "frac_coords": [[0.000, 0.000, 0.999], [0.000, 0.000, 0.501], [0.500, 0.500, 0.750], [0.500, 0.500, 0.250]]}

***

7.
{"formula": "CaB12", "functional": "GGA-PBE", "state": "optimized geometry", "polymorph_energy_kj_per_mol_atoms": 65.1, "magnetic_moment_mub_per_atom": 0.000, "rho_g_cm3": 2.3, "sg": "Pm-3m", "dos_ef_per_ev_atom": 0.227, "lattice_angstrom": [[-1.200, 1.452, -4.636], [-0.567, -4.784, -1.352], [-4.825, 0.201, 1.312]], "species": ["B", "B", "B", "B", "B", "B", "B", "B", "B", "B", "B", "B", "Ca"], "frac_coords": [[0.000, 0.244, 0.500], [0.500, 0.000, 0.756], [0.000, 0.500, 0.244], [0.500, 0.000, 0.244], [0.756, 0.500, 0.000], [0.244, 0.500, 0.000], [0.756, 0.000, 0.500], [0.000, 0.756, 0.500], [0.500, 0.756, 0.000], [0.000, 0.500, 0.756], [0.500, 0.244, 0.000], [0.244, 0.000, 0.500], [0.500, 0.500, 0.500]]}

***

8.
{"formula": "YMn2Ru2", "functional": "GGA-PBE", "state": "optimized geometry", "polymorph_energy_kj_per_mol_atoms": 18.0, "magnetic_moment_mub_per_atom": 0.351, "rho_g_cm3": 8.8, "sg": "P4/mbm", "dos_ef_per_ev_atom": 1.268, "lattice_angstrom": [[7.373, 0.000, 0.000], [0.000, 7.373, 0.000], [0.000, 0.000, 2.782]], "species": ["Ru", "Ru", "Ru", "Ru", "Mn", "Mn", "Mn", "Mn", "Y", "Y"], "frac_coords": [[0.327, 0.173, 0.500], [0.827, 0.327, 0.500], [0.173, 0.673, 0.500], [0.673, 0.827, 0.500], [0.112, 0.388, 0.000], [0.612, 0.112, 0.000], [0.888, 0.612, 0.000], [0.388, 0.888, 0.000], [0.000, 0.000, 0.000], [0.500, 0.500, 0.000]]}

***

9.
{"formula": "CuSi2HgO", "functional": "GGA-PBE", "state": "optimized geometry", "raw_formation_energy_ev_per_atom": 0.33, "magnetic_moment_mub_per_atom": 0.000, "rho_g_cm3": 6.6, "sg": "P4/mmm", "dos_ef_per_ev_atom": 0.326, "lattice_angstrom": [[3.955, 0.000, 0.000], [0.000, 5.380, 0.000], [0.000, 0.000, 3.955]], "species": ["Cu", "Si", "Si", "Hg", "O"], "frac_coords": [[0.500, 0.500, 0.500], [0.500, 0.000, 0.000], [0.000, 0.000, 0.500], [0.000, 0.500, 0.000], [0.000, 0.000, 0.000]]}

***

10.
{"formula": "CaInSe2", "functional": "GGA-PBE", "state": "optimized geometry", "raw_formation_energy_ev_per_atom": -1.05, "magnetic_moment_mub_per_atom": 0.000, "rho_g_cm3": 4.8, "sg": "R3m", "dos_ef_per_ev_atom": 0.623, "lattice_angstrom": [[4.127, 0.000, 0.000], [2.063, 3.574, 0.000], [2.063, 1.191, 7.264]], "species": ["Ca", "Se", "Se", "In"], "frac_coords": [[0.500, 0.500, 0.499], [0.250, 0.250, 0.250], [0.082, 0.082, 0.753], [0.667, 0.667, 0.998]]}

***

11.
{"formula": "NaPrTm2", "functional": "GGA-PBE", "state": "optimized geometry", "polymorph_energy_kj_per_mol_atoms": 3.0, "magnetic_moment_mub_per_atom": 0.000, "rho_g_cm3": 6.1, "sg": "R-3m", "dos_ef_per_ev_atom": 1.427, "lattice_angstrom": [[3.522, 0.000, 0.000], [1.761, 3.050, 0.000], [1.761, 1.017, 12.674]], "species": ["Na", "Pr", "Tm", "Tm"], "frac_coords": [[0.000, 0.000, 0.000], [0.500, 0.500, 0.500], [0.909, 0.909, 0.274], [0.091, 0.091, 0.726]]}

***

12.
{"formula": "LaAl6Ag6", "functional": "GGA-PBE", "state": "optimized geometry", "total_energy_ev_per_atom": -3.62, "magnetic_moment_mub_per_atom": 0.000, "rho_g_cm3": 6.6, "sg": "Immm", "dos_ef_per_ev_atom": 0.357, "lattice_angstrom": [[-0.904, -1.624, 5.104], [3.167, -6.248, 1.463], [5.089, 2.241, 4.505]], "species": ["Ag", "Ag", "Ag", "Ag", "Ag", "Ag", "Al", "Al", "Al", "Al", "Al", "Al", "La"], "frac_coords": [[0.000, 0.657, 0.343], [0.349, 0.651, 0.651], [0.702, 0.798, 0.798], [0.000, 0.343, 0.657], [0.651, 0.349, 0.349], [0.298, 0.202, 0.202], [0.000, 0.500, 0.000], [0.500, 0.500, 0.000], [0.500, 0.230, 0.770], [0.500, 0.770, 0.230], [0.500, 0.000, 0.500], [0.000, 0.000, 0.500], [0.000, 0.000, 0.000]]}

***

13.
{"formula": "Rb2MoN", "functional": "GGA-PBE", "state": "optimized geometry", "raw_formation_energy_ev_per_atom": 0.52, "magnetic_moment_mub_per_atom": 0.576, "rho_g_cm3": 3.0, "sg": "I-42d", "dos_ef_per_ev_atom": 0.733, "lattice_angstrom": [[-7.730, -7.292, -6.893], [7.554, 1.499, -10.057], [0.939, -4.490, -7.941]], "species": ["Rb", "Rb", "Rb", "Rb", "Mo", "Mo", "N", "N"], "frac_coords": [[0.426, 0.125, 0.250], [0.375, 0.574, 0.750], [0.324, 0.625, 0.250], [0.875, 0.676, 0.750], [0.750, 0.250, 0.500], [0.000, 0.000, 0.000], [0.500, 0.500, 0.000], [0.250, 0.750, 0.500]]}

***

14.
{"formula": "K3Hg2F9", "functional": "GGA-PBE", "state": "optimized geometry", "raw_formation_energy_ev_per_atom": -1.84, "magnetic_moment_mub_per_atom": 0.000, "rho_g_cm3": 4.4, "sg": "P-3m1", "dos_ef_per_ev_atom": 0.367, "lattice_angstrom": [[6.156, 0.000, 0.000], [-3.078, 5.331, 0.000], [0.000, 0.000, 7.940]], "species": ["F", "F", "F", "F", "F", "F", "F", "F", "F", "Hg", "Hg", "K", "K", "K"], "frac_coords": [[0.000, 0.500, 0.000], [0.667, 0.833, 0.680], [0.500, 0.500, 0.000], [0.167, 0.833, 0.680], [0.167, 0.333, 0.680], [0.833, 0.167, 0.320], [0.500, 0.000, 0.000], [0.333, 0.167, 0.320], [0.833, 0.667, 0.320], [0.667, 0.333, 0.169], [0.333, 0.667, 0.831], [0.000, 0.000, 0.000], [0.667, 0.333, 0.617], [0.333, 0.667, 0.383]]}

***

15.
{"formula": "Ac5PuS8", "functional": "GGA-PBE", "state": "optimized geometry", "raw_formation_energy_ev_per_atom": -2.06, "magnetic_moment_mub_per_atom": 0.486, "rho_g_cm3": 7.6, "sg": "I-4", "dos_ef_per_ev_atom": 0.891, "lattice_angstrom": [[-2.031, 5.097, -5.482], [4.332, -5.599, -3.169], [-6.364, -3.134, 3.136]], "species": ["Pu", "Ac", "Ac", "Ac", "Ac", "Ac", "S", "S", "S", "S", "S", "S", "S", "S"], "frac_coords": [[0.250, 0.500, 0.750], [0.006, 0.378, 0.129], [0.751, 0.622, 0.628], [0.372, 0.124, 0.994], [0.871, 0.876, 0.249], [0.500, 0.000, 0.500], [0.976, 0.107, 0.723], [0.131, 0.747, 0.024], [0.472, 0.596, 0.221], [0.124, 0.749, 0.528], [0.779, 0.251, 0.375], [0.277, 0.253, 0.384], [0.625, 0.404, 0.876], [0.616, 0.893, 0.869]]}

***

16.
{"formula": "BeAuI2O", "functional": "GGA-PBE", "state": "optimized geometry", "raw_formation_energy_ev_per_atom": -0.46, "polymorph_energy_kj_per_mol_atoms": 0.0, "magnetic_moment_mub_per_atom": 0.000, "rho_g_cm3": 6.6, "sg": "P4/mmm", "dos_ef_per_ev_atom": 0.385, "lattice_angstrom": [[6.384, 0.000, 0.000], [0.000, 2.927, 0.000], [0.000, 0.000, 6.384]], "species": ["Au", "Be", "O", "I", "I"], "frac_coords": [[0.500, 0.500, 0.500], [0.000, 0.000, 0.000], [0.000, 0.500, 0.000], [0.500, 0.000, 0.000], [0.000, 0.000, 0.500]]}

***

17.
{"formula": "LaFeRe3", "functional": "GGA-PBE", "state": "optimized geometry", "polymorph_energy_kj_per_mol_atoms": 230.1, "magnetic_moment_mub_per_atom": 0.000, "rho_g_cm3": 11.8, "sg": "Pm-3m", "dos_ef_per_ev_atom": 2.409, "lattice_angstrom": [[4.727, 0.000, 0.000], [0.000, 4.727, 0.000], [0.000, 0.000, 4.727]], "species": ["Re", "Re", "Re", "La", "Fe"], "frac_coords": [[0.500, 0.000, 0.000], [0.000, 0.500, 0.000], [0.000, 0.000, 0.500], [0.000, 0.000, 0.000], [0.500, 0.500, 0.500]]}

***

18.
{"formula": "Pm7HgGe2", "functional": "GGA-PBE", "state": "optimized geometry", "total_energy_ev_per_atom": -4.59, "magnetic_moment_mub_per_atom": 0.000, "rho_g_cm3": 7.6, "sg": "P3m1", "dos_ef_per_ev_atom": 1.105, "lattice_angstrom": [[-1.101, 4.737, 1.804], [-2.409, -1.789, -4.231], [-9.247, -4.952, 7.359]], "species": ["Ge", "Ge", "Pm", "Pm", "Pm", "Pm", "Pm", "Pm", "Pm", "Hg"], "frac_coords": [[0.667, 0.333, 0.355], [0.333, 0.667, 0.695], [0.667, 0.333, 0.847], [0.333, 0.667, 0.441], [0.000, 0.000, 0.285], [0.667, 0.333, 0.584], [0.333, 0.667, 0.959], [0.000, 0.000, 0.718], [0.667, 0.333, 0.125], [0.000, 0.000, 0.009]]}

***

19.
{"formula": "NpAl8C6", "functional": "GGA-PBE", "state": "optimized geometry", "total_energy_ev_per_atom": -6.26, "magnetic_moment_mub_per_atom": 0.267, "rho_g_cm3": 4.5, "sg": "P6_3cm", "dos_ef_per_ev_atom": 0.780, "lattice_angstrom": [[6.258, 0.000, 0.000], [-3.129, 5.420, 0.000], [0.000, 0.000, 11.302]], "species": ["Np", "Np", "Al", "Al", "Al", "Al", "Al", "Al", "Al", "Al", "Al", "Al", "Al", "Al", "Al", "Al", "Al", "Al", "C", "C", "C", "C", "C", "C", "C", "C", "C", "C", "C", "C"], "frac_coords": [[0.000, 0.000, 0.497], [0.000, 0.000, 0.997], [0.576, 0.576, 0.614], [0.576, 0.000, 0.114], [0.705, 0.000, 0.774], [0.333, 0.667, 0.409], [0.000, 0.424, 0.614], [0.667, 0.333, 0.409], [0.000, 0.576, 0.114], [0.333, 0.667, 0.909], [0.667, 0.333, 0.909], [0.000, 0.295, 0.274], [0.705, 0.705, 0.274], [0.424, 0.000, 0.614], [0.424, 0.424, 0.114], [0.295, 0.295, 0.774], [0.000, 0.705, 0.774], [0.295, 0.000, 0.274], [0.000, 0.380, 0.443], [0.667, 0.333, 0.713], [0.000, 0.000, 0.713], [0.333, 0.667, 0.213], [0.380, 0.000, 0.443], [0.000, 0.000, 0.213], [0.620, 0.620, 0.443], [0.667, 0.333, 0.213], [0.333, 0.667, 0.713], [0.380, 0.380, 0.943], [0.000, 0.620, 0.943], [0.620, 0.000, 0.943]]}

***

20.
{"formula": "LiNb3V", "functional": "GGA-PBE", "state": "optimized geometry", "polymorph_energy_kj_per_mol_atoms": 0.0, "magnetic_moment_mub_per_atom": 0.000, "rho_g_cm3": 5.4, "sg": "Pm-3m", "dos_ef_per_ev_atom": 1.536, "lattice_angstrom": [[-3.052, 1.837, 3.048], [2.975, -0.888, 3.513], [1.954, 4.221, -0.588]], "species": ["Nb", "Nb", "Nb", "V", "Li"], "frac_coords": [[0.000, 0.500, 0.000], [0.000, 0.000, 0.500], [0.500, 0.000, 0.000], [0.000, 0.000, 0.000], [0.500, 0.500, 0.500]]}